Density functional theory data (PBE) for a geometry-optimized KTl4Hg5 structure.

Summary:
ΔE_f   -68 kJ/mol of formula units
Total magnetization   0.00 μB per formula unit
Total DFT energy (no corrections)   -12.8 eV for the cell shown

Lattice parameters (Å, degrees): 4.079 4.079 18.025 90.00 90.00 90.00
Sites, in units of the cell vectors:
K 0.000 0.000 0.000
Tl 0.000 0.000 0.210
Tl 0.000 0.000 0.404
Tl 0.000 0.000 0.596
Tl 0.000 0.000 0.790
Hg 0.500 0.500 0.120
Hg 0.500 0.500 0.307
Hg 0.500 0.500 0.500
Hg 0.500 0.500 0.693
Hg 0.500 0.500 0.880

=====

Density functional theory data (PBE) for a geometry-optimized TaMn3N structure.

Summary:
Total magnetization   7.58 μB per formula unit
ΔE_f (raw)   2.382 eV/atom
Polymorph energy (0 for the lowest one)   2.662 eV per atom
Total DFT energy (no corrections)   -35.8 eV for the cell shown

Lattice parameters (Å, degrees): 4.730 4.730 4.730 90.00 90.00 90.00
Sites, in units of the cell vectors:
Ta 0.000 0.000 0.000
Mn 0.000 0.000 0.500
Mn 0.000 0.500 0.000
Mn 0.500 0.000 0.000
N 0.500 0.500 0.500

=====

Density functional theory data (PBE) for a geometry-optimized CeTl2Te3 structure.

Summary:
Total magnetization   0.13 μB per formula unit
ΔE_f (raw)   -0.787 eV/atom
Total DFT energy (no corrections)   -49.6 eV for the cell shown

Lattice parameters (Å, degrees): 8.017 8.017 8.401 99.05 99.05 119.45
Sites, in units of the cell vectors:
Ce 0.169 0.831 0.000
Ce 0.831 0.169 0.000
Tl 0.000 0.000 0.500
Tl 0.344 0.656 0.500
Tl 0.500 0.500 0.000
Tl 0.656 0.344 0.500
Te 0.059 0.424 0.775
Te 0.207 0.207 0.211
Te 0.424 0.059 0.775
Te 0.576 0.941 0.225
Te 0.793 0.793 0.789
Te 0.941 0.576 0.225

=====

Density functional theory data (PBE) for a geometry-optimized RbLiNpCl5 structure.

Summary:
Total magnetization   4.00 μB per formula unit
ΔE_f (raw)   -1.814 eV/atom
Total DFT energy (no corrections)   -79.1 eV for the cell shown

Lattice parameters (Å, degrees): 7.676 7.676 10.274 103.81 103.81 107.01
Sites, in units of the cell vectors:
Rb 0.154 0.846 0.750
Rb 0.846 0.154 0.250
Li 0.191 0.809 0.250
Li 0.809 0.191 0.750
Np 0.500 0.500 0.000
Np 0.500 0.500 0.500
Cl 0.124 0.260 0.919
Cl 0.194 0.596 0.389
Cl 0.260 0.124 0.419
Cl 0.404 0.806 0.111
Cl 0.421 0.579 0.750
Cl 0.579 0.421 0.250
Cl 0.596 0.194 0.889
Cl 0.740 0.876 0.581
Cl 0.806 0.404 0.611
Cl 0.876 0.740 0.081

=====

Density functional theory data (PBE) for a geometry-optimized BaLiCdHg structure.

Summary:
ΔE_f   -132 kJ/mol of formula units
Total magnetization   0.00 μB per formula unit
Polymorph energy (0 for the lowest one)   0.000 eV per atom
Total DFT energy (no corrections)   -12.8 eV for the cell shown

Lattice parameters (Å, degrees): 8.585 4.973 6.440 90.00 116.72 90.00
Sites, in units of the cell vectors:
Ba 0.000 0.000 0.000
Ba 0.500 0.500 0.000
Li 0.006 0.500 0.517
Li 0.506 0.000 0.517
Cd 0.299 0.500 0.397
Cd 0.799 0.000 0.397
Hg 0.202 0.000 0.604
Hg 0.702 0.500 0.604

=====

Density functional theory data (PBE) for a geometry-optimized YReTe4 structure.

Summary:
Total magnetization   3.86 μB per formula unit
ΔE_f (raw)   0.934 eV/atom
Total DFT energy (no corrections)   -25.9 eV for the cell shown

Lattice parameters (Å, degrees): 6.221 6.221 6.221 60.00 60.00 60.00
Sites, in units of the cell vectors:
Y 0.000 0.000 0.000
Re 0.750 0.750 0.750
Te 0.375 0.375 0.375
Te 0.375 0.375 0.874
Te 0.375 0.874 0.375
Te 0.874 0.375 0.375

=====

Density functional theory data (PBE) for a geometry-optimized TbPuSi2 structure.

Summary:
Total magnetization   5.51 μB per formula unit
ΔE_f (raw)   -0.350 eV/atom
Polymorph energy (0 for the lowest one)   0.251 eV per atom
Total DFT energy (no corrections)   -93.6 eV for the cell shown

Lattice parameters (Å, degrees): 4.816 4.816 12.884 90.00 90.00 120.00
Sites, in units of the cell vectors:
Tb 0.000 0.000 0.000
Tb 0.333 0.667 0.667
Tb 0.667 0.333 0.333
Pu 0.000 0.000 0.500
Pu 0.333 0.667 0.167
Pu 0.667 0.333 0.833
Si 0.000 0.000 0.247
Si 0.000 0.000 0.753
Si 0.333 0.667 0.419
Si 0.333 0.667 0.914
Si 0.667 0.333 0.086
Si 0.667 0.333 0.581

=====

Density functional theory data (PBE) for a geometry-optimized Co2WCl structure.

Summary:
Total magnetization   0.00 μB per formula unit
ΔE_f (raw)   0.808 eV/atom
Polymorph energy (0 for the lowest one)   0.529 eV per atom
Total DFT energy (no corrections)   -103.1 eV for the cell shown

Lattice parameters (Å, degrees): 5.679 5.679 8.481 90.00 90.00 90.00
Sites, in units of the cell vectors:
Co 0.242 0.250 0.125
Co 0.250 0.742 0.375
Co 0.250 0.758 0.875
Co 0.258 0.250 0.625
Co 0.742 0.750 0.625
Co 0.750 0.242 0.875
Co 0.750 0.258 0.375
Co 0.758 0.750 0.125
W 0.000 0.000 0.500
W 0.000 0.500 0.750
W 0.500 0.000 0.250
W 0.500 0.500 0.000
Cl 0.000 0.000 0.000
Cl 0.000 0.500 0.250
Cl 0.500 0.000 0.750
Cl 0.500 0.500 0.500

=====

Density functional theory data (PBE) for a geometry-optimized CaLaDyHo structure.

Summary:
ΔE_f   51 kJ/mol of formula units
Total magnetization   0.00 μB per formula unit
Total DFT energy (no corrections)   -62.3 eV for the cell shown

Lattice parameters (Å, degrees): 8.240 8.240 8.240 90.00 90.00 90.00
Sites, in units of the cell vectors:
Ca 0.000 0.000 0.000
Ca 0.000 0.500 0.500
Ca 0.500 0.000 0.500
Ca 0.500 0.500 0.000
La 0.250 0.250 0.250
La 0.250 0.750 0.750
La 0.750 0.250 0.750
La 0.750 0.750 0.250
Dy 0.250 0.250 0.750
Dy 0.250 0.750 0.250
Dy 0.750 0.250 0.250
Dy 0.750 0.750 0.750
Ho 0.000 0.000 0.500
Ho 0.000 0.500 0.000
Ho 0.500 0.000 0.000
Ho 0.500 0.500 0.500

=====

Density functional theory data (PBE) for a geometry-optimized TiTcP2 structure.

Summary:
ΔE_f   -200 kJ/mol of formula units
Total magnetization   0.00 μB per formula unit
Polymorph energy (0 for the lowest one)   0.184 eV per atom
Total DFT energy (no corrections)   -93.5 eV for the cell shown

Lattice parameters (Å, degrees): 3.684 3.684 15.228 90.00 90.00 120.00
Sites, in units of the cell vectors:
Ti 0.000 0.000 0.000
Ti 0.333 0.667 0.667
Ti 0.667 0.333 0.333
Tc 0.000 0.000 0.500
Tc 0.333 0.667 0.167
Tc 0.667 0.333 0.833
P 0.000 0.000 0.243
P 0.000 0.000 0.757
P 0.333 0.667 0.424
P 0.333 0.667 0.909
P 0.667 0.333 0.091
P 0.667 0.333 0.576

=====

Density functional theory data (PBE) for a geometry-optimized PrSmH structure.

Summary:
Total magnetization   0.00 μB per formula unit
Polymorph energy (0 for the lowest one)   0.006 eV per atom
Total DFT energy (no corrections)   -80.7 eV for the cell shown

Lattice parameters (Å, degrees): 11.286 6.462 5.799 90.00 90.00 90.00
Sites, in units of the cell vectors:
Pr 0.000 0.085 0.000
Pr 0.167 0.583 0.983
Pr 0.333 0.417 0.483
Pr 0.500 0.915 0.500
Pr 0.667 0.417 0.483
Pr 0.833 0.583 0.983
Sm 0.000 0.422 0.483
Sm 0.166 0.920 0.500
Sm 0.334 0.080 0.000
Sm 0.500 0.578 0.983
Sm 0.666 0.080 0.000
Sm 0.834 0.920 0.500
H 0.000 0.752 0.251
H 0.168 0.245 0.739
H 0.332 0.755 0.239
H 0.500 0.248 0.751
H 0.668 0.755 0.239
H 0.832 0.245 0.739

=====

Density functional theory data (PBE) for a geometry-optimized Tb2NdCo9 structure.

Summary:
ΔE_f   -146 kJ/mol of formula units
Total magnetization   10.45 μB per formula unit
Total DFT energy (no corrections)   -79.5 eV for the cell shown

Lattice parameters (Å, degrees): 8.631 8.631 8.631 33.84 33.84 33.84
Sites, in units of the cell vectors:
Tb 0.140 0.140 0.140
Tb 0.860 0.860 0.860
Nd 0.000 0.000 0.000
Co 0.079 0.583 0.583
Co 0.335 0.335 0.335
Co 0.417 0.417 0.921
Co 0.417 0.921 0.417
Co 0.500 0.500 0.500
Co 0.583 0.079 0.583
Co 0.583 0.583 0.079
Co 0.665 0.665 0.665
Co 0.921 0.417 0.417

=====

> total magnetization of number 3 (CeTl2Te3)?

0.13 μB per formula unit

=====

Copy entry 1 word for word.
Density functional theory data (PBE) for a geometry-optimized KTl4Hg5 structure.

Summary:
ΔE_f   -68 kJ/mol of formula units
Total magnetization   0.00 μB per formula unit
Total DFT energy (no corrections)   -12.8 eV for the cell shown

Lattice parameters (Å, degrees): 4.079 4.079 18.025 90.00 90.00 90.00
Sites, in units of the cell vectors:
K 0.000 0.000 0.000
Tl 0.000 0.000 0.210
Tl 0.000 0.000 0.404
Tl 0.000 0.000 0.596
Tl 0.000 0.000 0.790
Hg 0.500 0.500 0.120
Hg 0.500 0.500 0.307
Hg 0.500 0.500 0.500
Hg 0.500 0.500 0.693
Hg 0.500 0.500 0.880

=====

> Which value of total magnetization does entry 2 give?

7.58 μB per formula unit